Run i
VASP calculation (PBE-GGA) on a relaxed Dy2Er5Sc2 crystal.

Computed properties:
The space group is C2/m.

Cell lengths 8.876, 8.876, 9.324 Å; angles 104.06, 104.06, 22.21 degrees
Atoms (fractional coordinates):
Dy  0.147  0.147  0.029
Dy  0.853  0.853  0.971
Er  0.000  0.000  0.500
Er  0.169  0.169  0.399
Er  0.342  0.342  0.288
Er  0.658  0.658  0.712
Er  0.831  0.831  0.601
Sc  0.488  0.488  0.822
Sc  0.512  0.512  0.178

---

Run ii
VASP calculation (PBE-GGA) on a relaxed Dy2Er5Sc2 crystal.

Computed properties:
The space group is Cm.

Cell lengths 11.534, 11.534, 9.789 Å; angles 115.07, 115.07, 27.29 degrees
Atoms (fractional coordinates):
Dy  0.000  0.000  0.000
Dy  0.250  0.250  0.410
Dy  0.500  0.500  0.499
Dy  0.749  0.749  0.588
Er  0.110  0.110  0.470
Er  0.163  0.163  0.030
Er  0.250  0.250  0.804
Er  0.337  0.337  0.204
Er  0.389  0.389  0.749
Er  0.610  0.610  0.249
Er  0.663  0.663  0.794
Er  0.750  0.750  0.194
Er  0.837  0.837  0.968
Er  0.889  0.889  0.528
Sc  0.048  0.048  0.709
Sc  0.451  0.451  0.111
Sc  0.549  0.549  0.887
Sc  0.951  0.951  0.290

---

Which structure is the most stable? The one labeled run i.

---

Run i
VASP calculation (PBE-GGA) on a relaxed Dy2Er4Sc5 crystal.

Computed properties:
The space group is P2/m.

Cell lengths 8.637, 3.437, 11.145 Å; angles 90.00, 108.82, 90.00 degrees
Atoms (fractional coordinates):
Dy  0.134  0.000  0.408
Dy  0.866  0.000  0.592
Er  0.241  0.500  0.719
Er  0.253  0.500  0.153
Er  0.747  0.500  0.847
Er  0.759  0.500  0.281
Sc  0.089  0.000  0.897
Sc  0.496  0.000  0.631
Sc  0.500  0.000  0.000
Sc  0.504  0.000  0.369
Sc  0.911  0.000  0.103

---

Run ii
VASP calculation (PBE-GGA) on a relaxed Dy2Er4Sc5 crystal.

Computed properties:
The space group is C2/m.

Cell lengths 11.451, 11.451, 8.319 Å; angles 93.22, 93.22, 16.81 degrees
Atoms (fractional coordinates):
Dy  0.088  0.088  0.196
Dy  0.912  0.912  0.804
Er  0.227  0.227  0.324
Er  0.455  0.455  0.162
Er  0.545  0.545  0.838
Er  0.773  0.773  0.676
Sc  0.000  0.000  0.500
Sc  0.312  0.312  0.023
Sc  0.371  0.371  0.462
Sc  0.629  0.629  0.538
Sc  0.688  0.688  0.977

---

Which structure is the most stable? The one labeled run i.

---

Run i
VASP calculation (PBE-GGA) on a relaxed Dy3Er2Sc2 crystal.

Computed properties:
The space group is C2/m.

Cell lengths 16.839, 3.397, 8.280 Å; angles 90.00, 119.03, 90.00 degrees
Atoms (fractional coordinates):
Dy  0.000  0.000  0.000
Dy  0.212  0.000  0.303
Dy  0.288  0.500  0.697
Dy  0.500  0.500  0.000
Dy  0.712  0.500  0.303
Dy  0.788  0.000  0.697
Er  0.142  0.000  0.815
Er  0.358  0.500  0.185
Er  0.642  0.500  0.815
Er  0.858  0.000  0.185
Sc  0.064  0.500  0.411
Sc  0.436  0.000  0.589
Sc  0.564  0.000  0.411
Sc  0.936  0.500  0.589

---

Run ii
VASP calculation (PBE-GGA) on a relaxed Dy3Er2Sc2 crystal.

Computed properties:
The space group is Cmmm.

Cell lengths 5.165, 23.179, 3.424 Å; angles 90.00, 90.00, 90.00 degrees
Atoms (fractional coordinates):
Dy  0.000  0.000  0.000
Dy  0.000  0.156  0.000
Dy  0.000  0.844  0.000
Dy  0.500  0.344  0.000
Dy  0.500  0.500  0.000
Dy  0.500  0.656  0.000
Er  0.000  0.425  0.500
Er  0.000  0.575  0.500
Er  0.500  0.075  0.500
Er  0.500  0.925  0.500
Sc  0.000  0.284  0.500
Sc  0.000  0.716  0.500
Sc  0.500  0.216  0.500
Sc  0.500  0.784  0.500

---

Which structure is the most stable? The one labeled run ii.

---

Run i
VASP calculation (PBE-GGA) on a relaxed DyEr4Sc3 crystal.

Computed properties:
The space group is Pmn2_1.

Cell lengths 10.831, 6.981, 6.033 Å; angles 90.00, 90.00, 90.00 degrees
Atoms (fractional coordinates):
Dy  0.000  0.119  0.000
Dy  0.500  0.881  0.500
Er  0.000  0.370  0.496
Er  0.000  0.630  0.990
Er  0.246  0.631  0.333
Er  0.254  0.369  0.833
Er  0.500  0.370  0.490
Er  0.500  0.630  0.996
Er  0.746  0.369  0.833
Er  0.754  0.631  0.333
Sc  0.000  0.879  0.500
Sc  0.249  0.121  0.329
Sc  0.251  0.879  0.829
Sc  0.500  0.121  0.000
Sc  0.749  0.879  0.829
Sc  0.751  0.121  0.329

---

Run ii
VASP calculation (PBE-GGA) on a relaxed DyEr4Sc3 crystal.

Computed properties:
The space group is P-1.

Cell lengths 5.896, 5.926, 6.862 Å; angles 90.08, 90.03, 109.52 degrees
Atoms (fractional coordinates):
Dy  0.000  0.000  0.000
Er  0.500  0.000  0.253
Er  0.500  0.000  0.747
Er  0.500  0.500  0.000
Er  0.500  0.500  0.500
Sc  0.000  0.000  0.500
Sc  0.000  0.500  0.254
Sc  0.000  0.500  0.746

---

Which structure is the most stable? The one labeled run i.

---

Run i
VASP calculation (PBE-GGA) on a relaxed Dy7ErSc4 crystal.

Computed properties:
The space group is P-1.

Cell lengths 6.022, 6.949, 8.539 Å; angles 89.95, 76.34, 89.94 degrees
Atoms (fractional coordinates):
Dy  0.000  0.000  0.000
Dy  0.223  0.500  0.336
Dy  0.284  0.755  0.661
Dy  0.497  0.245  0.995
Dy  0.503  0.755  0.005
Dy  0.716  0.245  0.339
Dy  0.777  0.500  0.664
Er  0.000  0.500  0.000
Sc  0.217  0.000  0.340
Sc  0.275  0.245  0.663
Sc  0.725  0.755  0.337
Sc  0.783  0.000  0.660

---

Run ii
VASP calculation (PBE-GGA) on a relaxed Dy7ErSc4 crystal.

Computed properties:
The space group is C2/m.

Cell lengths 8.240, 8.240, 9.380 Å; angles 118.81, 118.81, 40.69 degrees
Atoms (fractional coordinates):
Dy  0.000  0.000  0.000
Dy  0.258  0.258  0.723
Dy  0.292  0.292  0.118
Dy  0.412  0.412  0.555
Dy  0.588  0.588  0.445
Dy  0.708  0.708  0.882
Dy  0.742  0.742  0.277
Er  0.500  0.500  0.000
Sc  0.054  0.054  0.702
Sc  0.167  0.167  0.348
Sc  0.833  0.833  0.652
Sc  0.946  0.946  0.298

---

Which structure is the most stable? The one labeled run i.

---

Run i
VASP calculation (PBE-GGA) on a relaxed Dy9ErSc2 crystal.

Computed properties:
The space group is P6/mmm.

Cell lengths 11.017, 11.017, 3.451 Å; angles 90.00, 90.00, 120.00 degrees
Atoms (fractional coordinates):
Dy  0.000  0.500  0.000
Dy  0.178  0.357  0.500
Dy  0.178  0.822  0.500
Dy  0.357  0.178  0.500
Dy  0.500  0.000  0.000
Dy  0.500  0.500  0.000
Dy  0.643  0.822  0.500
Dy  0.822  0.178  0.500
Dy  0.822  0.643  0.500
Er  0.000  0.000  0.000
Sc  0.333  0.667  0.000
Sc  0.667  0.333  0.000

---

Run ii
VASP calculation (PBE-GGA) on a relaxed Dy9ErSc2 crystal.

Computed properties:
The space group is P4/mmm.

Cell lengths 4.942, 4.942, 14.804 Å; angles 90.00, 90.00, 90.00 degrees
Atoms (fractional coordinates):
Dy  0.000  0.000  0.000
Dy  0.000  0.000  0.336
Dy  0.000  0.000  0.664
Dy  0.000  0.500  0.171
Dy  0.000  0.500  0.500
Dy  0.000  0.500  0.829
Dy  0.500  0.000  0.171
Dy  0.500  0.000  0.500
Dy  0.500  0.000  0.829
Er  0.500  0.500  0.000
Sc  0.500  0.500  0.335
Sc  0.500  0.500  0.665

---

Which structure is the most stable? The one labeled run ii.

---

Run i
VASP calculation (PBE-GGA) on a relaxed Dy2Er3Sc3 crystal.

Computed properties:
The space group is C2/m.

Cell lengths 22.879, 3.454, 5.935 Å; angles 90.00, 104.75, 90.00 degrees
Atoms (fractional coordinates):
Dy  0.247  0.000  0.244
Dy  0.253  0.500  0.756
Dy  0.747  0.500  0.244
Dy  0.753  0.000  0.756
Er  0.000  0.000  0.000
Er  0.123  0.000  0.463
Er  0.377  0.500  0.537
Er  0.500  0.500  0.000
Er  0.623  0.500  0.463
Er  0.877  0.000  0.537
Sc  0.000  0.500  0.500
Sc  0.123  0.500  0.958
Sc  0.377  0.000  0.042
Sc  0.500  0.000  0.500
Sc  0.623  0.000  0.958
Sc  0.877  0.500  0.042

---

Run ii
VASP calculation (PBE-GGA) on a relaxed Dy2Er3Sc3 crystal.

Computed properties:
The space group is Immm.

Cell lengths 4.800, 4.880, 19.392 Å; angles 90.00, 90.00, 90.00 degrees
Atoms (fractional coordinates):
Dy  0.000  0.000  0.249
Dy  0.000  0.000  0.751
Dy  0.500  0.500  0.251
Dy  0.500  0.500  0.749
Er  0.000  0.000  0.000
Er  0.000  0.500  0.122
Er  0.000  0.500  0.878
Er  0.500  0.000  0.378
Er  0.500  0.000  0.622
Er  0.500  0.500  0.500
Sc  0.000  0.000  0.500
Sc  0.000  0.500  0.377
Sc  0.000  0.500  0.623
Sc  0.500  0.000  0.123
Sc  0.500  0.000  0.877
Sc  0.500  0.500  0.000

---

Which structure is the most stable? The one labeled run i.

---

Run i
VASP calculation (PBE-GGA) on a relaxed TbDyErSc crystal.

Computed properties:
The space group is Cm.

Cell lengths 12.021, 5.569, 3.748 Å; angles 90.00, 108.15, 90.00 degrees
Atoms (fractional coordinates):
Tb  0.000  0.000  0.000
Tb  0.500  0.500  0.000
Dy  0.229  0.500  0.226
Dy  0.729  0.000  0.226
Er  0.268  0.000  0.765
Er  0.768  0.500  0.765
Sc  0.497  0.000  0.495
Sc  0.997  0.500  0.495

---

Run ii
VASP calculation (PBE-GGA) on a relaxed TbDyErSc crystal.

Computed properties:
The space group is F-43m.

Cell lengths 7.810, 7.810, 7.810 Å; angles 90.00, 90.00, 90.00 degrees
Atoms (fractional coordinates):
Tb  0.000  0.000  0.000
Tb  0.000  0.500  0.500
Tb  0.500  0.000  0.500
Tb  0.500  0.500  0.000
Dy  0.000  0.000  0.500
Dy  0.000  0.500  0.000
Dy  0.500  0.000  0.000
Dy  0.500  0.500  0.500
Er  0.250  0.250  0.750
Er  0.250  0.750  0.250
Er  0.750  0.250  0.250
Er  0.750  0.750  0.750
Sc  0.250  0.250  0.250
Sc  0.250  0.750  0.750
Sc  0.750  0.250  0.750
Sc  0.750  0.750  0.250

---

Which structure is the most stable? The one labeled run i.